La12Pr3Ho | PBE | optimized geometry

Cell lengths 5.2449, 5.2449, 20.9939 Å; angles 90.00, 90.00, 90.00 degrees
Closest atoms and distances in Å follow each position.
Fractional positions:
La1 0.0000 0.0000 0.0000  8 La 3.68, 4 Ho 3.71
La2 0.0000 0.0000 0.2488  4 Pr 3.71, 8 La 3.72
La3 0.0000 0.0000 0.5000  4 Pr 3.71, 8 La 3.72
La4 0.0000 0.0000 0.7512  4 Pr 3.71, 8 La 3.72
La5 0.0000 0.5000 0.1232  8 La 3.68-3.72, 2 Ho 3.68, 2 Pr 3.72
La6 0.0000 0.5000 0.3743  8 La 3.71-3.72, 4 Pr 3.72
La7 0.0000 0.5000 0.6257  8 La 3.71-3.72, 4 Pr 3.72
La8 0.0000 0.5000 0.8768  8 La 3.68-3.72, 2 Ho 3.68, 2 Pr 3.72
La9 0.5000 0.0000 0.1232  8 La 3.68-3.72, 2 Ho 3.68, 2 Pr 3.72
La10 0.5000 0.0000 0.3743  8 La 3.71-3.72, 4 Pr 3.72
La11 0.5000 0.0000 0.6257  8 La 3.71-3.72, 4 Pr 3.72
La12 0.5000 0.0000 0.8768  8 La 3.68-3.72, 2 Ho 3.68, 2 Pr 3.72
Pr1 0.5000 0.5000 0.2487  12 La 3.71-3.72
Pr2 0.5000 0.5000 0.5000  12 La 3.71-3.72
Pr3 0.5000 0.5000 0.7513  12 La 3.71-3.72
Ho1 0.5000 0.5000 0.0000  12 La 3.68-3.71

Results
calculated volume = 577.53 Å³ per cell
crystal system = tetragonal
density of states at the Fermi level = 26.20 states/eV/cell
formation enthalpy at 0 K = 0.0058 eV per atom


La2AlSi4Pd3 | PBE | optimized geometry

Cell lengths 4.2385, 4.2385, 10.3831 Å; angles 90.00, 90.00, 90.00 degrees
Closest atoms and distances in Å follow each position.
Fractional positions:
La1 0.0000 0.5000 0.2430  8 Si 3.23-3.30, 6 Pd 3.25-3.41, 2 Al 3.41
La2 0.5000 0.0000 0.7570  8 Si 3.23-3.30, 6 Pd 3.25-3.41, 2 Al 3.41
Al1 0.0000 0.0000 0.5000  4 Si 2.58
Si1 0.0000 0.0000 0.0000  4 Pd 2.46
Si2 0.0000 0.5000 0.6413  3 Pd 2.47-2.58, 2 Al 2.58
Si3 0.5000 0.0000 0.3587  3 Pd 2.47-2.58, 2 Al 2.58
Si4 0.5000 0.5000 0.0000  4 Pd 2.46
Pd1 0.0000 0.5000 0.8793  5 Si 2.46-2.47
Pd2 0.5000 0.0000 0.1207  5 Si 2.46-2.47
Pd3 0.5000 0.5000 0.5000  4 Si 2.58

Results
calculated volume = 186.53 Å³ per cell
crystal system = tetragonal
density of states at the Fermi level = 3.25 states/eV/cell
E_form (uncorrected) = -0.8603 eV per atom


CoTeMo4 | PBE | optimized geometry

Cell lengths 5.2552, 5.2552, 5.2552 Å; angles 60.00, 60.00, 60.00 degrees
Closest atoms and distances in Å follow each position.
Fractional positions:
Co1 0.0000 0.0000 0.0000  12 Mo 3.08, 4 Te 3.22
Te1 0.2500 0.2500 0.2500  12 Mo 3.08, 4 Co 3.22
Mo1 0.1216 0.6261 0.6261  6 Mo 2.60-2.65
Mo2 0.6261 0.1216 0.6261  6 Mo 2.60-2.65
Mo3 0.6261 0.6261 0.1216  6 Mo 2.60-2.65
Mo4 0.6261 0.6261 0.6261  6 Mo 2.60-2.65

Results
calculated volume = 102.63 Å³ per cell
crystal system = cubic
density of states at the Fermi level = 8.08 states/eV/cell
E_form (uncorrected) = 0.7041 eV per atom


TmPuPaO6 | PBE | optimized geometry

Cell lengths 5.6938, 5.6938, 9.5195 Å; angles 90.00, 90.00, 120.00 degrees
Closest atoms and distances in Å follow each position.
Fractional positions:
Tm1 0.3333 0.6667 0.2500  6 O 2.25
Tm2 0.6667 0.3333 0.7500  6 O 2.25
Pu1 0.3333 0.6667 0.7500  6 O 2.23
Pu2 0.6667 0.3333 0.2500  6 O 2.23
Pa1 0.0000 0.0000 0.0000  6 O 2.22
Pa2 0.0000 0.0000 0.5000  6 O 2.22
O1 0.0028 0.3265 0.6288  1 Pa 2.22, 1 Pu 2.23, 1 Tm 2.25
O2 0.0028 0.6763 0.8712  1 Pa 2.22, 1 Pu 2.23, 1 Tm 2.25
O3 0.3237 0.3265 0.8712  1 Pa 2.22, 1 Pu 2.23, 1 Tm 2.25
O4 0.3237 0.9972 0.6288  1 Pa 2.22, 1 Pu 2.23, 1 Tm 2.25
O5 0.3265 0.0028 0.1288  1 Pa 2.22, 1 Pu 2.23, 1 Tm 2.25
O6 0.3265 0.3237 0.3712  1 Pa 2.22, 1 Pu 2.23, 1 Tm 2.25
O7 0.6735 0.6763 0.6288  1 Pa 2.22, 1 Pu 2.23, 1 Tm 2.25
O8 0.6735 0.9972 0.8712  1 Pa 2.22, 1 Pu 2.23, 1 Tm 2.25
O9 0.6763 0.0028 0.3712  1 Pa 2.22, 1 Pu 2.23, 1 Tm 2.25
O10 0.6763 0.6735 0.1288  1 Pa 2.22, 1 Pu 2.23, 1 Tm 2.25
O11 0.9972 0.3237 0.1288  1 Pa 2.22, 1 Pu 2.23, 1 Tm 2.25
O12 0.9972 0.6735 0.3712  1 Pa 2.22, 1 Pu 2.23, 1 Tm 2.25

Results
calculated volume = 267.27 Å³ per cell
crystal system = trigonal
density of states at the Fermi level = 8.70 states/eV/cell
E_form (uncorrected) = -3.3294 eV per atom